This record from Alexandria describes a relaxed structure of CsSi2Ni. The functional is PBE-GGA.

Cell and atoms, written as extended XYZ:
```
8
Lattice="-0.545 3.724 4.589 -4.802 -2.965 1.836 1.000 -3.401 6.717" Properties=species:S:1:pos:R:3 pbc="T T T"
Cs 0.000 0.000 0.000
Cs -1.109 0.352 7.259
Si -2.456 -3.007 7.906
Si -0.555 0.176 3.629
Si -2.956 -1.306 4.548
Si -2.728 -1.145 10.200
Ni -2.674 0.380 3.212
Ni -3.238 -2.993 5.883
```

The value obtained for the calculated total energy is -4.24 eV/atom. The raw formation energy is 0.13 eV/atom. As for the excess energy over the best structure of this formula in the dataset: 0.000 eV/atom.

***

This record from Alexandria describes a relaxed structure of YHfPS2. The functional is PBE-GGA.

Cell and atoms, written as extended XYZ:
```
5
Lattice="-2.118 1.888 4.109 3.339 -2.408 2.827 3.198 4.137 -0.253" Properties=species:S:1:pos:R:3 pbc="T T T"
Hf 2.209 1.809 3.342
Y 0.000 0.000 0.000
S 1.669 -1.204 1.414
S -1.059 0.944 2.055
P 1.599 2.069 -0.126
```

The value obtained for the calculated total energy is -5.94 eV/atom. The raw formation energy is 0.08 eV/atom. As for the excess energy over the best structure of this formula in the dataset: 1.070 eV/atom.

***

This record from Alexandria describes a relaxed structure of Pr2TlGe3Pt4. The functional is PBE-GGA.

Cell and atoms, written as extended XYZ:
```
10
Lattice="4.409 0.000 0.000 0.000 4.409 0.000 0.000 0.000 10.622" Properties=species:S:1:pos:R:3 pbc="T T T"
Pt 2.204 2.204 0.000
Pt 2.204 0.000 6.919
Pt 0.000 2.204 3.703
Pt 0.000 0.000 0.000
Ge 0.000 2.204 1.278
Ge 0.000 0.000 5.311
Ge 2.204 0.000 9.344
Pr 0.000 2.204 8.066
Pr 2.204 0.000 2.556
Tl 2.204 2.204 5.311
```

The value obtained for the calculated total energy is -5.78 eV/atom. The value obtained for the formation energy from the elements is -790.1 meV per atom.

***

This record from Alexandria describes a relaxed structure of Mg6CuB. The functional is PBE-GGA.

Cell and atoms, written as extended XYZ:
```
8
Lattice="-1.369 2.597 -5.322 0.945 -5.407 -2.611 -3.890 -0.941 0.541" Properties=species:S:1:pos:R:3 pbc="T T T"
Mg -1.938 -3.682 -5.264
Mg -0.412 0.027 -2.919
Mg -1.730 -2.303 -1.372
Mg 0.266 -3.060 -3.406
Mg -1.159 1.872 -5.077
Mg -0.559 -0.943 -5.656
B -2.700 0.004 -4.333
Cu -1.243 -5.036 -2.626
```

The value obtained for the calculated total energy is -2.32 eV/atom. As for the excess energy over the best structure of this formula in the dataset: 0.038 eV/atom. The value obtained for the formation energy from the elements is 219.8 meV per atom.

***

This record from Alexandria describes a relaxed structure of Cs2NaAgPd. The functional is PBE-GGA.

Cell and atoms, written as extended XYZ:
```
5
Lattice="6.723 0.000 0.000 0.000 6.723 0.000 0.000 0.000 5.319" Properties=species:S:1:pos:R:3 pbc="T T T"
Cs 0.000 3.362 0.000
Cs 3.362 0.000 0.000
Pd 0.000 0.000 0.000
Na 3.362 3.362 2.660
Ag 0.000 0.000 2.660
```

The value obtained for the calculated total energy is -2.04 eV/atom. The value obtained for the formation energy from the elements is 172.8 meV per atom.

***

This record from Alexandria describes a relaxed structure of Na2PbCl4. The functional is PBE-GGA.

Cell and atoms, written as extended XYZ:
```
7
Lattice="-3.651 2.642 -3.441 -0.677 -4.789 -2.959 -7.789 -3.036 1.262" Properties=species:S:1:pos:R:3 pbc="T T T"
Na -3.711 -1.613 -1.973
Na -8.406 -3.570 -3.165
Pb 0.000 0.000 0.000
Cl -5.658 -2.293 -0.428
Cl -1.826 1.321 -1.720
Cl -0.338 -2.394 -1.480
Cl -6.458 -2.890 -4.710
```

The value obtained for the calculated total energy is -3.30 eV/atom. The raw formation energy is -1.34 eV/atom. As for the excess energy over the best structure of this formula in the dataset: 0.179 eV/atom.

***

This record from Alexandria describes a relaxed structure of Ca3Ho2PaP6. The functional is PBE-GGA.

Cell and atoms, written as extended XYZ:
```
12
Lattice="7.040 -0.004 -0.001 -3.522 6.096 -0.001 -1.174 -2.033 6.651" Properties=species:S:1:pos:R:3 pbc="T T T"
P -1.150 1.988 1.541
P 0.047 4.061 5.108
P 3.494 2.070 5.108
P 2.297 -0.002 1.541
P 2.370 4.104 1.540
P -0.026 -0.045 5.110
Pa 0.000 0.000 0.000
Ho 3.519 2.029 -0.001
Ho -0.001 4.062 -0.001
Ca 1.172 2.029 3.325
Ca 4.668 0.010 3.325
Ca -2.325 4.049 3.325
```

The value obtained for the calculated total energy is -6.06 eV/atom. The value obtained for the formation energy from the elements is -1298.6 meV per atom.

***

This record from Alexandria describes a relaxed structure of Mg2RePN. The functional is PBE-GGA.

Cell and atoms, written as extended XYZ:
```
5
Lattice="-3.790 -0.750 -0.569 0.135 -3.179 3.290 -0.935 2.708 2.654" Properties=species:S:1:pos:R:3 pbc="T T T"
N 0.000 0.000 0.000
P 0.068 -1.589 1.645
Mg -1.895 -0.375 -0.285
Mg -0.467 1.354 1.327
Re -2.295 -0.611 2.687
```

The value obtained for the calculated total energy is -5.40 eV/atom. The raw formation energy is 0.48 eV/atom.

***

This record from Alexandria describes a relaxed structure of Lu2ZrSb. The functional is PBE-GGA.

Cell and atoms, written as extended XYZ:
```
4
Lattice="-2.347 2.449 1.792 -1.763 -2.944 1.716 4.470 0.409 5.294" Properties=species:S:1:pos:R:3 pbc="T T T"
Sb -2.055 -0.247 1.754
Zr 0.180 -0.043 4.401
Lu 3.398 0.311 4.025
Lu 1.072 0.098 1.269
```

The value obtained for the calculated total energy is -5.83 eV/atom. The raw formation energy is -0.40 eV/atom. As for the excess energy over the best structure of this formula in the dataset: 0.000 eV/atom.

***

This record from Alexandria describes a relaxed structure of Cs2K5RbHg2. The functional is PBE-GGA.

Cell and atoms, written as extended XYZ:
```
20
Lattice="5.448 0.000 0.000 0.000 15.339 0.000 0.000 0.000 15.339" Properties=species:S:1:pos:R:3 pbc="T T T"
Hg 0.000 1.845 9.515
Hg 0.000 9.515 13.494
Hg 0.000 13.494 5.825
Hg 0.000 5.825 1.845
K 2.724 7.670 0.000
K 2.724 8.774 11.143
K 2.724 1.104 11.866
K 2.724 11.143 6.565
K 2.724 3.473 1.104
K 2.724 11.866 14.235
K 2.724 6.565 4.196
K 2.724 0.000 7.670
K 2.724 4.196 8.774
K 2.724 14.235 3.473
Rb 0.000 7.670 7.670
Rb 0.000 0.000 0.000
Cs 0.000 2.639 5.030
Cs 0.000 12.700 10.309
Cs 0.000 5.030 12.700
Cs 0.000 10.309 2.639
```

The value obtained for the calculated total energy is -0.97 eV/atom. The value obtained for the formation energy from the elements is -96.1 meV per atom.

***

This record from Alexandria describes a relaxed structure of NiAsW2. The functional is PBE-GGA.

Cell and atoms, written as extended XYZ:
```
4
Lattice="-0.926 3.908 0.161 -0.260 0.053 -2.779 -5.241 -1.205 -0.891" Properties=species:S:1:pos:R:3 pbc="T T T"
Ni -4.589 1.090 -2.672
W -2.765 -0.585 -1.696
W -5.225 -1.196 -1.030
As -1.838 1.666 -0.837
```

The value obtained for the calculated total energy is -8.79 eV/atom. The value obtained for the formation energy from the elements is 293.6 meV per atom.

***

This record from Alexandria describes a relaxed structure of TlTcSb2. The functional is PBE-GGA.

Cell and atoms, written as extended XYZ:
```
4
Lattice="5.136 0.000 0.000 0.000 5.136 0.000 0.000 0.000 3.494" Properties=species:S:1:pos:R:3 pbc="T T T"
Tl 0.000 2.568 1.747
Tc 2.568 0.000 1.747
Sb 0.000 0.000 0.000
Sb 2.568 2.568 0.000
```

The value obtained for the calculated total energy is -4.55 eV/atom. The raw formation energy is 0.70 eV/atom. As for the excess energy over the best structure of this formula in the dataset: 0.682 eV/atom.

***

- Which of these has the lowest calculated total energy?
  NiAsW2

***

Repeat the first record exactly.
This record from Alexandria describes a relaxed structure of CsSi2Ni. The functional is PBE-GGA.

Cell and atoms, written as extended XYZ:
```
8
Lattice="-0.545 3.724 4.589 -4.802 -2.965 1.836 1.000 -3.401 6.717" Properties=species:S:1:pos:R:3 pbc="T T T"
Cs 0.000 0.000 0.000
Cs -1.109 0.352 7.259
Si -2.456 -3.007 7.906
Si -0.555 0.176 3.629
Si -2.956 -1.306 4.548
Si -2.728 -1.145 10.200
Ni -2.674 0.380 3.212
Ni -3.238 -2.993 5.883
```

The value obtained for the calculated total energy is -4.24 eV/atom. The raw formation energy is 0.13 eV/atom. As for the excess energy over the best structure of this formula in the dataset: 0.000 eV/atom.